Mg2NiH4: optimized geometry, PBE.

Properties
Its crystal system is orthorhombic. The energy relative to the lowest polymorph listed for this composition is 4.9 meV per atom. The value obtained for the volume is 539 Å³ per cell.

Lattice parameters (Å, degrees): 6.3542 13.1321 6.4580 90.00 90.00 90.00
With the nearest neighbours (Å) after each atom.
Space group Pccn (No. 56)
One atom of each set of equivalent atoms:
Mg (0.2375, 0.0141, 0.0696) x8  6 H 2.05-2.23
Mg (0.2500, 0.2500, 0.0584) x4  6 H 2.22-2.33
Mg (0.2500, 0.7500, 0.4743) x4  6 H 2.03-2.20
Ni (0.0179, 0.1310, 0.8051) x8  4 H 1.55-1.57
H (0.0348, 0.7441, 0.7418) x8  1 Ni 1.55
H (0.0567, 0.5426, 0.8419) x8  1 Ni 1.57
H (0.0669, 0.6099, 0.4726) x8  1 Ni 1.56
H (0.2375, 0.1265, 0.3166) x8  1 Ni 1.56